This record from Alexandria via LeMat-Bulk describes a relaxed Dy5Ho12Al2 crystal. The functional is PBE.

a = 8.826 Å, b = 8.826 Å, c = 8.202 Å
α = 92.13°, β = 92.13°, γ = 63.24°
Positions (direct):
Dy (0.000, 0.000, 0.000)
Dy (0.232, 0.232, 0.073)
Dy (0.310, 0.310, 0.486)
Dy (0.690, 0.690, 0.514)
Dy (0.768, 0.768, 0.927)
Ho (0.043, 0.671, 0.272)
Ho (0.078, 0.078, 0.378)
Ho (0.178, 0.570, 0.827)
Ho (0.329, 0.957, 0.728)
Ho (0.430, 0.822, 0.173)
Ho (0.447, 0.447, 0.179)
Ho (0.553, 0.553, 0.821)
Ho (0.570, 0.178, 0.827)
Ho (0.671, 0.043, 0.272)
Ho (0.822, 0.430, 0.173)
Ho (0.922, 0.922, 0.622)
Ho (0.957, 0.329, 0.728)
Al (0.329, 0.671, 0.500)
Al (0.671, 0.329, 0.500)

As for the calculated volume: 570.0 Å³/cell. The space group is C2/m (12). The calculation puts the total energy at -4.478 eV/atom.